Entry 1:
Compound: La7Zn2N2
Source: Alexandria via LeMat-Bulk
Functional: PBE
Structure: relaxed

Unit cell a=11.6983 b=7.4203 c=6.7071 alpha=90.00 beta=95.25 gamma=90.00
Last column: nearest neighbours and their distance in Å.
Space group C2/m (No. 12)
Inequivalent atoms, fractional coordinates:
La 0.0000 0.0000 0.0000 x2  2 N 2.64
La 0.0602 0.5000 0.7905 x4  1 N 2.69
La 0.2299 0.2722 0.2427 x8  2 N 2.51-2.53
Zn 0.0000 0.1662 0.5000 x4  1 Zn 2.47
N 0.2265 0.0000 0.0207 x4  6 La 2.51-2.69

Calculated values
total moment	0.00	Bohr magnetons per cell
energy relative to the elements, uncorrected	-0.48	eV per atom
total energy	-118.029	eV for the cell shown


Entry 2:
Compound: ReOsPb3
Source: Alexandria via LeMat-Bulk
Functional: PBE
Structure: relaxed

Unit cell a=5.2512 b=5.2512 c=5.2512 alpha=90.00 beta=90.00 gamma=90.00
Last column: nearest neighbours and their distance in Å.
Space group Pm-3m (No. 221)
Inequivalent atoms, fractional coordinates:
Re 0.0000 0.0000 0.0000 x1  12 Pb 3.71
Os 0.5000 0.5000 0.5000 x1  6 Pb 2.63
Pb 0.0000 0.5000 0.5000 x3  2 Os 2.63

Calculated values
total moment	3.29	Bohr magnetons per cell
total energy	-26.994	eV for the cell shown
DFT formation energy	1562	meV/atom


Entry 3:
Compound: MnTc3Br
Source: Alexandria via LeMat-Bulk
Functional: PBE
Structure: relaxed

Unit cell a=4.4898 b=4.4898 c=4.4898 alpha=90.00 beta=90.00 gamma=90.00
Last column: nearest neighbours and their distance in Å.
Space group Pm-3m (No. 221)
Inequivalent atoms, fractional coordinates:
Mn 0.0000 0.0000 0.0000 x1  12 Tc 3.17
Tc 0.0000 0.5000 0.5000 x3  2 Br 2.24
Br 0.5000 0.5000 0.5000 x1  6 Tc 2.24

Calculated values
total moment	0.40	Bohr magnetons per cell
energy relative to the elements, uncorrected	2.03	eV per atom
total energy	-31.797	eV for the cell shown


Which of these has the highest total energy?
ReOsPb3